Model a:
This record from Alexandria via LeMat-Bulk describes a relaxed structure of TlBiB2. The functional is PBE.

Computed properties:
- DOS(E_F) (states/eV/f.u.) = 1.6

Structure (CIF):
```
data_TlBiB2
_chemical_formula_sum 'Tl4 Bi4 B8'
_symmetry_space_group_name_H-M 'I -4 2 d'
_symmetry_Int_Tables_number 122
_symmetry_space_group_name_Hall 'I -4 2bw'
_cell_length_a 5.5615
_cell_length_b 5.5615
_cell_length_c 10.8385
_cell_angle_alpha 90.00
_cell_angle_beta 90.00
_cell_angle_gamma 90.00
loop_
_atom_site_label
_atom_site_type_symbol
_atom_site_fract_x
_atom_site_fract_y
_atom_site_fract_z
Tl1 Tl 0.0000 0.0000 0.0000
Bi1 Bi 0.0000 0.0000 0.5000
B1 B 0.2496 0.2500 0.1250
```


Model b:
This record from Alexandria via LeMat-Bulk describes a relaxed structure of TlBiB2. The functional is PBE.

Computed properties:
- DOS(E_F) (states/eV/f.u.) = 1.9

Structure (CIF):
```
data_TlBiB2
_chemical_formula_sum 'Tl4 Bi4 B8'
_symmetry_space_group_name_H-M 'F m -3 m'
_symmetry_Int_Tables_number 225
_symmetry_space_group_name_Hall '-F 4 2 3'
_cell_length_a 6.6986
_cell_length_b 6.6986
_cell_length_c 6.6986
_cell_angle_alpha 90.00
_cell_angle_beta 90.00
_cell_angle_gamma 90.00
loop_
_atom_site_label
_atom_site_type_symbol
_atom_site_fract_x
_atom_site_fract_y
_atom_site_fract_z
Tl1 Tl 0.0000 0.0000 0.0000
Bi1 Bi 0.0000 0.0000 0.5000
B1 B 0.2500 0.2500 0.2500
```


Energy ordering: model a at the bottom, the next structure 471 meV/atom above.


Model a:
This record from Alexandria via LeMat-Bulk describes a relaxed structure of TlBi2B. The functional is PBE.

Computed properties:
- DOS(E_F) (states/eV/f.u.) = 2.3

Structure (CIF):
```
data_TlBi2B
_chemical_formula_sum 'Tl4 Bi8 B4'
_symmetry_space_group_name_H-M 'F m -3 m'
_symmetry_Int_Tables_number 225
_symmetry_space_group_name_Hall '-F 4 2 3'
_cell_length_a 7.4535
_cell_length_b 7.4535
_cell_length_c 7.4535
_cell_angle_alpha 90.00
_cell_angle_beta 90.00
_cell_angle_gamma 90.00
loop_
_atom_site_label
_atom_site_type_symbol
_atom_site_fract_x
_atom_site_fract_y
_atom_site_fract_z
Tl1 Tl 0.0000 0.0000 0.0000
Bi1 Bi 0.2500 0.2500 0.2500
B1 B 0.0000 0.0000 0.5000
```


Model b:
This record from Alexandria via LeMat-Bulk describes a relaxed structure of TlBi2B. The functional is PBE.

Computed properties:
- DOS(E_F) (states/eV/f.u.) = 0.5

Structure (CIF):
```
data_TlBi2B
_chemical_formula_sum 'Tl4 Bi8 B4'
_symmetry_space_group_name_H-M 'I -4 2 d'
_symmetry_Int_Tables_number 122
_symmetry_space_group_name_Hall 'I -4 2bw'
_cell_length_a 6.4598
_cell_length_b 6.4598
_cell_length_c 11.6472
_cell_angle_alpha 90.00
_cell_angle_beta 90.00
_cell_angle_gamma 90.00
loop_
_atom_site_label
_atom_site_type_symbol
_atom_site_fract_x
_atom_site_fract_y
_atom_site_fract_z
Tl1 Tl 0.0000 0.0000 0.0000
Bi1 Bi 0.1713 0.2500 0.6250
B1 B 0.0000 0.0000 0.5000
```


Energy ordering: model b at the bottom, the next structure 448 meV/atom above.